! BaIn4Bi2 PBE optimized geometry; values from VASP
! total moment: 0.0 μB/f.u.
! energy of formation from the pure elements: -0.2492 eV/atom
! D(E_F): 5.6 states/eV/cell
&SYSTEM
  ibrav = 0, nat = 14, ntyp = 3
/
ATOMIC_SPECIES
Ba 137.33 Ba.upf
In 114.82 In.upf
Bi 208.98 Bi.upf
CELL_PARAMETERS angstrom
9.250 0.000 0.000
0.000 9.250 0.000
0.000 0.000 5.449
ATOMIC_POSITIONS crystal
Ba 0.000 0.000 0.000
Ba 0.500 0.500 0.500
In 0.102 0.363 0.500
In 0.137 0.602 0.000
In 0.363 0.102 0.500
In 0.398 0.863 0.000
In 0.602 0.137 0.000
In 0.637 0.898 0.500
In 0.863 0.398 0.000
In 0.898 0.637 0.500
Bi 0.208 0.792 0.500
Bi 0.292 0.292 0.000
Bi 0.708 0.708 0.000
Bi 0.792 0.208 0.500

***

! MnBe2Re PBE optimized geometry; values from VASP
! total moment: 0.0 μB/f.u.
! energy of formation from the pure elements: 0.0574 eV/atom
! D(E_F): 3.2 states/eV/cell
&SYSTEM
  ibrav = 0, nat = 4, ntyp = 3
/
ATOMIC_SPECIES
Mn 54.94 Mn.upf
Be 9.01 Be.upf
Re 186.21 Re.upf
CELL_PARAMETERS angstrom
4.300 -1.433 0.000
4.300 1.433 0.000
-1.850 0.000 3.542
ATOMIC_POSITIONS crystal
Mn 0.000 0.000 0.000
Be 0.259 0.259 0.760
Be 0.741 0.741 0.240
Re 0.500 0.500 0.500

***

! LiGeF4 PBE optimized geometry; values from VASP
! total moment: 0.4 μB/f.u.
! E_tot: -27.66 eV per cell
! D(E_F): 2.7 states/eV/cell
&SYSTEM
  ibrav = 0, nat = 6, ntyp = 3
/
ATOMIC_SPECIES
Li 6.94 Li.upf
Ge 72.64 Ge.upf
F 19.00 F.upf
CELL_PARAMETERS angstrom
-2.827 2.827 3.025
2.827 -2.827 3.025
2.827 2.827 -3.025
ATOMIC_POSITIONS crystal
Li 0.000 0.000 0.000
Ge 0.250 0.750 0.500
F 0.175 0.728 0.094
F 0.272 0.366 0.447
F 0.634 0.081 0.906
F 0.919 0.825 0.553

***

! DyHo2Fe PBE optimized geometry; values from VASP
! total moment: 0.0 μB/f.u.
! energy of formation from the pure elements: -0.0071 eV/atom
! D(E_F): 8.0 states/eV/cell
&SYSTEM
  ibrav = 0, nat = 8, ntyp = 3
/
ATOMIC_SPECIES
Dy 162.50 Dy.upf
Ho 164.93 Ho.upf
Fe 55.84 Fe.upf
CELL_PARAMETERS angstrom
3.746 0.000 0.000
0.000 9.059 0.000
-1.873 0.000 5.923
ATOMIC_POSITIONS crystal
Dy 0.082 0.250 0.162
Dy 0.918 0.750 0.838
Ho 0.356 0.070 0.713
Ho 0.356 0.430 0.713
Ho 0.644 0.570 0.287
Ho 0.644 0.930 0.287
Fe 0.257 0.750 0.516
Fe 0.743 0.250 0.484

***

! In3NiRu PBE optimized geometry; values from VASP
! total moment: 0.0 μB/f.u.
! energy of formation from the pure elements: 0.6480 eV/atom
! D(E_F): 7.5 states/eV/cell
&SYSTEM
  ibrav = 0, nat = 5, ntyp = 3
/
ATOMIC_SPECIES
In 114.82 In.upf
Ni 58.69 Ni.upf
Ru 101.07 Ru.upf
CELL_PARAMETERS angstrom
5.077 0.000 0.000
0.000 5.077 0.000
0.000 0.000 5.077
ATOMIC_POSITIONS crystal
In 0.000 0.000 0.500
In 0.000 0.500 0.000
In 0.500 0.000 0.000
Ni 0.500 0.500 0.500
Ru 0.000 0.000 0.000

***

! BeHgSbTe2 PBE optimized geometry; values from VASP
! total moment: 0.0 μB/f.u.
! E_tot: -8.30 eV per cell
! D(E_F): 7.3 states/eV/cell
&SYSTEM
  ibrav = 0, nat = 5, ntyp = 4
/
ATOMIC_SPECIES
Be 9.01 Be.upf
Hg 200.59 Hg.upf
Sb 121.76 Sb.upf
Te 127.60 Te.upf
CELL_PARAMETERS angstrom
5.667 0.000 0.000
0.000 5.667 0.000
0.000 0.000 5.517
ATOMIC_POSITIONS crystal
Be 0.000 0.000 0.000
Hg 0.500 0.500 0.500
Sb 0.500 0.500 0.000
Te 0.000 0.500 0.500
Te 0.500 0.000 0.500

***

! ThTl3Ge2Te6 PBE optimized geometry; values from VASP
! total moment: 0.0 μB/f.u.
! E_tot: -47.77 eV per cell
! D(E_F): 11.5 states/eV/cell
&SYSTEM
  ibrav = 0, nat = 12, ntyp = 4
/
ATOMIC_SPECIES
Th 232.04 Th.upf
Tl 204.38 Tl.upf
Ge 72.64 Ge.upf
Te 127.60 Te.upf
CELL_PARAMETERS angstrom
3.877 -6.727 0.000
3.877 6.727 0.000
-2.580 0.000 7.757
ATOMIC_POSITIONS crystal
Th 0.000 0.000 0.000
Tl 0.161 0.839 0.500
Tl 0.500 0.500 0.500
Tl 0.839 0.161 0.500
Ge 0.331 0.669 0.000
Ge 0.669 0.331 0.000
Te 0.071 0.414 0.213
Te 0.274 0.274 0.789
Te 0.414 0.071 0.213
Te 0.586 0.929 0.787
Te 0.726 0.726 0.211
Te 0.929 0.586 0.787

***

! Pm2ThHg PBE optimized geometry; values from VASP
! total moment: 0.0 μB/f.u.
! energy of formation from the pure elements: 0.0834 eV/atom
! D(E_F): 5.3 states/eV/cell
&SYSTEM
  ibrav = 0, nat = 4, ntyp = 3
/
ATOMIC_SPECIES
Pm 145.00 Pm.upf
Th 232.04 Th.upf
Hg 200.59 Hg.upf
CELL_PARAMETERS angstrom
1.741 1.005 12.007
-1.741 1.005 12.007
0.000 -2.011 12.007
ATOMIC_POSITIONS crystal
Pm 0.095 0.095 0.095
Pm 0.905 0.905 0.905
Th 0.000 0.000 0.000
Hg 0.500 0.500 0.500